This record from Alexandria describes an optimized crystal structure of Ga2FeSn2Rh5. The functional is GGA-PBE.

Calculated values
Energy of formation ... -252 kJ/mol of formula units
Crystal system ... tetragonal
Density of states at the Fermi level ... 4.84 states/eV/f.u.

```
data_Ga2FeSn2Rh5
_symmetry_space_group_name_H-M 'P 4/m b m'
_symmetry_Int_Tables_number 127
_symmetry_space_group_name_Hall '-P 4 2ab'
_cell_length_a 10.4224
_cell_length_b 10.4224
_cell_length_c 3.0039
_cell_angle_alpha 90.00
_cell_angle_beta 90.00
_cell_angle_gamma 90.00
loop_
_atom_site_label
_atom_site_type_symbol
_atom_site_fract_x
_atom_site_fract_y
_atom_site_fract_z
Ga1 Ga 0.1423 0.3577 0.0000
Fe1 Fe 0.0000 0.0000 0.0000
Sn1 Sn 0.1555 0.6555 0.0000
Rh1 Rh 0.0000 0.5000 0.5000
Rh2 Rh 0.1276 0.1588 0.5000
```

=====

This record from Alexandria describes an optimized crystal structure of GdSiGe. The functional is GGA-PBE.

Calculated values
Crystal system ... trigonal
Density of states at the Fermi level ... 2.15 states/eV/f.u.
Energy above the most stable polymorph in this dataset ... 0 meV/atom
Formation energy without anion corrections ... -510.6 meV per atom

```
data_GdSiGe
_symmetry_space_group_name_H-M 'P 3 m 1'
_symmetry_Int_Tables_number 156
_cell_length_a 4.2597
_cell_length_b 4.2597
_cell_length_c 3.9827
_cell_angle_alpha 90.00
_cell_angle_beta 90.00
_cell_angle_gamma 120.00
loop_
_symmetry_equiv_pos_as_xyz
'x,y,z'
'-y,x-y,z'
'-x+y,-x,z'
'-y,-x,z'
'-x+y,y,z'
'x,x-y,z'
loop_
_atom_site_label
_atom_site_type_symbol
_atom_site_fract_x
_atom_site_fract_y
_atom_site_fract_z
Gd1 Gd 0.0000 0.0000 0.0000
Si1 Si 0.3333 0.6667 0.5025
Ge1 Ge 0.6667 0.3333 0.4977
```

=====

For each record above, in turn, the calculated calculated volume values are 16.3; 20.9 A^3/atom.
For each record above, in turn, the calculated energy values are -6.19; -8.55 eV/atom.
For each record above, in turn, the calculated magnetization values are 7.7; 6.7 μB per cell.